This record from Alexandria describes a geometry-optimized MgPbN2O structure. The functional is GGA-PBE.

Output
Total DFT energy (no corrections) (eV per atom): -4.82
E_form (uncorrected) (eV/f.u.): 2.8
Size of the total moment (μB/atom): 0.8000

Cell and atoms, written as CIF:
```
data_MgPbN2O
_cell_length_a 4.262
_cell_length_b 4.262
_cell_length_c 4.021
_cell_angle_alpha 90.00
_cell_angle_beta 90.00
_cell_angle_gamma 90.00
_space_group_name_H-M_alt 'P 4/m m m'
_space_group_IT_number 123
_space_group_name_Hall '-P 4 2'
loop_
_atom_site_label
_atom_site_type_symbol
_atom_site_fract_x
_atom_site_fract_y
_atom_site_fract_z
_atom_site_occupancy
Mg1 Mg 0.000 0.000 0.000 1
Pb1 Pb 0.500 0.500 0.500 1
N1 N 0.000 0.500 0.000 1
O1 O 0.000 0.000 0.500 1
```